No. 1
5
Lattice="5.802 0.000 0.000 0.000 5.802 0.000 0.000 0.000 4.363" Properties=species:S:1:pos:R:3 comment="Y2NiBiC, relaxed, DFT PBE" dos_ef_per_ev_fu=5.305 magmom_total_mub_per_atom=0.00 polymorph_energy_mev_per_atom=1929 vol_a3_per_cell=147 pbc="T T T"
Y 0.000 2.901 0.000
Y 2.901 0.000 0.000
Ni 0.000 0.000 2.182
Bi 2.901 2.901 0.000
C 2.901 2.901 2.182

---

No. 2
4
Lattice="2.792 0.000 0.000 0.000 3.499 0.000 0.000 0.000 6.665" Properties=species:S:1:pos:R:3 comment="CoIr2Cl, relaxed, DFT PBE" dos_ef_per_ev_fu=4.765 magmom_total_mub_per_atom=0.43 polymorph_energy_mev_per_atom=182 vol_a3_per_cell=65 formation_energy_uncorrected_ev_per_fu=2.38 pbc="T T T"
Co 0.000 0.000 0.000
Ir 0.000 0.000 2.654
Ir 1.396 1.749 1.366
Cl 1.396 1.749 5.038

---

No. 3
10
Lattice="2.837 0.000 0.000 0.000 2.837 0.000 0.000 0.000 19.357" Properties=species:S:1:pos:R:3 comment="Ti5PdPt4, relaxed, DFT PBE" dos_ef_per_ev_fu=13.338 e_tot_ev_per_fu=-77.1 magmom_total_mub_per_atom=0.22 vol_a3_per_cell=156 pbc="T T T"
Ti 0.000 0.000 0.000
Ti 0.000 0.000 3.872
Ti 0.000 0.000 7.727
Ti 0.000 0.000 11.630
Ti 0.000 0.000 15.485
Pd 1.418 1.418 9.678
Pt 1.418 1.418 1.931
Pt 1.418 1.418 5.814
Pt 1.418 1.418 13.543
Pt 1.418 1.418 17.425